Record 1
A crystal of AgSb8 relaxed with PBEsol. Source: Alexandria, functional meta-GGA SCAN.

- Energy relative to the elements, uncorrected: 254 meV/atom
- Magnetic moment: 0.0 μB per cell

Lattice parameters (Å, degrees): 11.052 11.052 3.778 90.00 90.00 90.00
Space group I4/mmm (No. 139)
One atom of each set of equivalent atoms:
1 Ag 0.000 0.000 0.000
2 Sb 0.000 0.337 0.000
3 Sb 0.145 0.145 0.500



Record 2
A crystal of Ag3Sb relaxed with PBEsol. Source: Alexandria, functional meta-GGA SCAN.

- Energy relative to the elements, uncorrected: 26 meV/atom
- Magnetic moment: 0.0 μB per cell

Lattice parameters (Å, degrees): 4.196 4.196 16.820 90.00 90.00 90.00
Space group I4/mmm (No. 139)
One atom of each set of equivalent atoms:
1 Ag 0.000 0.000 0.123
2 Ag 0.000 0.500 0.000
3 Ag 0.000 0.500 0.250
4 Sb 0.000 0.000 0.373



Record 3
A crystal of AgSb3 relaxed with PBEsol. Source: Alexandria, functional meta-GGA SCAN.

- Energy relative to the elements, uncorrected: 190 meV/atom
- Magnetic moment: 0.0 μB per cell
- Excess energy over the best structure of this formula in the dataset: 119 meV per atom

Lattice parameters (Å, degrees): 3.075 11.293 5.793 90.00 90.00 90.00
Space group Imm2 (No. 44)
One atom of each set of equivalent atoms:
1 Ag 0.000 0.000 0.000
2 Sb 0.000 0.307 0.720
3 Sb 0.000 0.500 0.067



Record 4
A crystal of Ag3Sb relaxed with PBEsol. Source: Alexandria, functional meta-GGA SCAN.

- Energy relative to the elements, uncorrected: 106 meV/atom
- Magnetic moment: 0.0 μB per cell

Lattice parameters (Å, degrees): 3.013 3.013 8.410 90.00 90.00 90.00
Space group P4/mmm (No. 123)
One atom of each set of equivalent atoms:
1 Ag 0.000 0.000 0.000
2 Ag 0.500 0.500 0.225
3 Sb 0.000 0.000 0.500



Record 5
A crystal of Ag3Sb relaxed with PBEsol. Source: Alexandria, functional meta-GGA SCAN.

- Energy relative to the elements, uncorrected: 145 meV/atom
- Magnetic moment: 0.0 μB per cell

Lattice parameters (Å, degrees): 3.1043 3.1043 27.4883 90.00 90.00 120.00
Space group R-3m (No. 166, hexagonal axes)
One atom of each set of equivalent atoms:
1 Ag 0.0000 0.0000 0.0000
2 Ag 0.0000 0.0000 0.2545
3 Sb 0.0000 0.0000 0.5000



Record 6
A crystal of Ag4Sb relaxed with PBEsol. Source: Alexandria, functional meta-GGA SCAN.

- Energy relative to the elements, uncorrected: 38 meV/atom
- Magnetic moment: 0.0 μB per cell

Lattice parameters (Å, degrees): 6.622 6.622 4.135 90.00 90.00 90.00
Space group I4/m (No. 87)
One atom of each set of equivalent atoms:
1 Ag 0.101 0.693 0.000
2 Sb 0.000 0.000 0.500



Record 7
A crystal of AgSb3 relaxed with PBEsol. Source: Alexandria, functional meta-GGA SCAN.

- Energy relative to the elements, uncorrected: 71 meV/atom
- Magnetic moment: 0.0 μB per cell
- Excess energy over the best structure of this formula in the dataset: 0 meV per atom

Lattice parameters (Å, degrees): 4.1963 4.1963 20.0478 90.00 90.00 120.00
Space group R-3m (No. 166, hexagonal axes)
One atom of each set of equivalent atoms:
1 Ag 0.0000 0.0000 0.0000
2 Sb 0.0000 0.0000 0.2596
3 Sb 0.0000 0.0000 0.5000



Record 8
A crystal of AgSb3 relaxed with PBEsol. Source: Alexandria, functional meta-GGA SCAN.

- Energy relative to the elements, uncorrected: 305 meV/atom
- Magnetic moment: 0.0 μB per cell
- Excess energy over the best structure of this formula in the dataset: 234 meV per atom

Lattice parameters (Å, degrees): 5.119 5.119 7.345 90.00 90.00 90.00
Space group I4/mmm (No. 139)
One atom of each set of equivalent atoms:
1 Ag 0.000 0.000 0.000
2 Sb 0.000 0.000 0.500
3 Sb 0.000 0.500 0.250



Copy entry 1 word for word.
A crystal of AgSb8 relaxed with PBEsol. Source: Alexandria, functional meta-GGA SCAN.

- Energy relative to the elements, uncorrected: 254 meV/atom
- Magnetic moment: 0.0 μB per cell

Lattice parameters (Å, degrees): 11.052 11.052 3.778 90.00 90.00 90.00
Space group I4/mmm (No. 139)
One atom of each set of equivalent atoms:
1 Ag 0.000 0.000 0.000
2 Sb 0.000 0.337 0.000
3 Sb 0.145 0.145 0.500



energy relative to the elements, uncorrected of number 7 (AgSb3)? 71 meV/atom